This record from the Alexandria database describes a relaxed Mn3C2 crystal. The functional is PBE.

Output
Mass density = 6.80 g/cm³
E_form = 100 meV per atom
DOS(E_F) = 0.867 states/eV/atom
Symmetry = No. 43

Cell lengths 4.8991, 4.8991, 5.1083 Å; angles 116.73, 116.73, 93.56 degrees
Each line ends with the local moment (μB).
Fractional positions:
Mn1 0.3948 0.3977 0.6868  0.94
Mn2 0.6023 0.6052 0.3132  0.94
Mn3 0.4581 0.9609 0.8132  0.94
Mn4 0.0391 0.5419 0.1868  0.94
Mn5 0.0533 0.9467 0.0000  2.12
Mn6 0.8033 0.1967 0.5000  2.12
C1 0.2128 0.2632 0.9103  -0.10
C2 0.7368 0.7872 0.0897  -0.10
C3 0.0525 0.6029 0.5897  -0.10
C4 0.3971 0.9475 0.4103  -0.10